[1]
Density functional theory data (GGA-PBEsol) for an optimized crystal structure of TlAu.

```
4
Lattice="3.478 0.000 0.000 0.000 4.573 0.000 0.000 0.000 5.638" Properties=species:S:1:pos:R:3 pbc="T T T"
Tl 1.739 1.143 4.525
Tl 1.739 3.430 1.114
Au 0.000 1.143 1.952
Au 0.000 3.430 3.687
```

Properties
Crystal system: orthorhombic
Calculated formation energy: 77 meV per atom
M_tot: 0.00 μB/atom

=====

[2]
Density functional theory data (GGA-PBEsol) for an optimized crystal structure of Na2SnO2.

```
20
Lattice="-4.450 -0.213 2.489 0.850 -6.503 0.961 4.558 1.823 8.304" Properties=species:S:1:pos:R:3 pbc="T T T"
Na -0.265 -5.289 4.213
Na 3.533 0.536 6.453
Na -0.853 -2.075 3.620
Na 1.181 -4.748 6.878
Na -1.975 -3.501 6.574
Na 0.439 -0.663 0.786
Na 2.269 -0.874 9.271
Na -0.500 -2.960 9.223
O 0.082 -1.090 10.503
O 0.914 -3.959 10.931
O -0.425 -0.339 5.269
O 3.397 -4.748 5.678
O -1.054 -4.259 2.155
O 2.479 -1.230 5.154
O -1.764 -0.658 2.010
O 0.199 -3.291 5.319
Sn 2.703 -4.258 9.850
Sn -2.349 -0.093 6.106
Sn 0.784 -1.649 6.342
Sn 0.776 -3.787 1.212
```

Properties
Crystal system: orthorhombic
M_tot: 0.00 μB/atom
Uncorrected formation energy: -682 kJ/mol of formula units

=====

[3]
Density functional theory data (GGA-PBEsol) for an optimized crystal structure of SrRhAuI2.

```
5
Lattice="5.153 0.000 0.000 0.000 5.153 0.000 0.000 0.000 5.732" Properties=species:S:1:pos:R:3 pbc="T T T"
Au 2.576 2.576 2.866
I 0.000 2.576 0.000
I 2.576 0.000 0.000
Sr 0.000 0.000 2.866
Rh 0.000 0.000 0.000
```

Properties
Crystal system: tetragonal
M_tot: 0.00 μB/atom
Uncorrected formation energy: -40 kJ/mol of formula units

=====

[4]
Density functional theory data (GGA-PBEsol) for an optimized crystal structure of MnNiAs2N.

```
5
Lattice="-2.026 -0.463 3.766 -1.138 -3.999 -1.104 3.876 -1.623 1.886" Properties=species:S:1:pos:R:3 pbc="T T T"
Mn 1.938 -0.812 0.943
Ni 0.000 0.000 0.000
As -1.013 -0.232 1.883
As -0.569 -1.999 -0.552
N 0.356 -3.043 2.274
```

Properties
Crystal system: tetragonal
M_tot: 0.85 μB/atom
Uncorrected formation energy: 660 kJ/mol of formula units

=====

[5]
Density functional theory data (GGA-PBEsol) for an optimized crystal structure of Be2SbPt.

```
4
Lattice="3.067 0.000 0.000 0.000 3.067 0.000 0.000 0.000 6.198" Properties=species:S:1:pos:R:3 pbc="T T T"
Be 0.000 0.000 1.088
Be 0.000 0.000 5.110
Sb 1.534 1.534 3.099
Pt 1.534 1.534 0.000
```

Properties
Crystal system: tetragonal
M_tot: 0.00 μB/atom
Uncorrected formation energy: -16 kJ/mol of formula units

=====

[6]
Density functional theory data (GGA-PBEsol) for an optimized crystal structure of Re3MoPt.

```
5
Lattice="4.617 0.000 0.000 0.000 4.617 0.000 0.000 0.000 4.617" Properties=species:S:1:pos:R:3 pbc="T T T"
Re 2.308 0.000 0.000
Re 0.000 0.000 2.308
Re 0.000 2.308 0.000
Mo 2.308 2.308 2.308
Pt 0.000 0.000 0.000
```

Properties
Crystal system: cubic
Calculated formation energy: 2743 meV per atom
M_tot: 0.00 μB/atom

=====

[7]
Density functional theory data (GGA-PBEsol) for an optimized crystal structure of Li2NbNi3O8.

```
28
Lattice="-1.808 -4.387 -3.254 5.633 0.860 0.798 -0.232 -5.554 7.618" Properties=species:S:1:pos:R:3 pbc="T T T"
O 1.331 -5.461 6.624
O 0.235 -3.538 2.155
O 2.190 -5.342 0.899
O 0.821 -7.500 2.286
O 4.530 -2.188 0.434
O -0.162 -3.872 5.311
O 1.632 -5.530 3.747
O -0.690 -5.781 0.491
O 3.064 -3.008 2.354
O 4.211 -5.021 7.032
O -0.046 -1.095 1.502
O 0.468 -7.534 4.812
O 2.813 -0.605 1.536
O 2.001 -2.574 0.075
O 3.286 -7.264 5.368
O -0.896 -5.916 3.388
Nb 3.152 -0.911 -0.522
Nb 0.555 -5.437 1.936
Li -0.118 -2.817 3.864
Li 0.649 -3.203 -1.129
Li 3.013 -4.231 4.031
Li -0.002 -0.040 0.054
Ni 1.531 -2.030 1.887
Ni 2.046 -7.434 3.800
Ni 3.418 -3.771 0.675
Ni -0.733 -7.858 3.407
Ni 4.310 -1.606 2.281
Ni 0.159 -5.693 5.012
```

Properties
Crystal system: hexagonal
M_tot: 0.22 μB/atom
Uncorrected formation energy: -2032 kJ/mol of formula units

=====

[8]
Density functional theory data (GGA-PBEsol) for an optimized crystal structure of ZrTlZn2.

```
4
Lattice="4.108 0.000 0.000 0.000 4.108 0.000 -2.054 -2.054 4.390" Properties=species:S:1:pos:R:3 pbc="T T T"
Zn 2.054 0.000 2.195
Zn 0.000 0.000 0.000
Zr 2.054 2.054 0.000
Tl 0.000 2.054 2.195
```

Properties
Crystal system: tetragonal
Calculated formation energy: 2 meV per atom
M_tot: 0.00 μB/atom

=====

[9]
Density functional theory data (GGA-PBEsol) for an optimized crystal structure of BaSrSe2.

```
4
Lattice="-1.651 1.475 3.956 -3.990 -1.934 -0.944 1.952 -5.409 2.831" Properties=species:S:1:pos:R:3 pbc="T T T"
Ba -1.845 -2.934 2.922
Sr 0.000 0.000 0.000
Se -2.821 -0.230 1.506
Se 0.976 -2.704 1.416
```

Properties
Crystal system: tetragonal
M_tot: 0.00 μB/atom
Uncorrected formation energy: -780 kJ/mol of formula units

=====

[10]
Density functional theory data (GGA-PBEsol) for an optimized crystal structure of Cd4GeSe3S3.

```
22
Lattice="-2.398 6.749 0.757 -6.805 1.159 2.370 0.862 2.783 12.187" Properties=species:S:1:pos:R:3 pbc="T T T"
S -5.900 4.082 11.993
S -4.283 5.742 5.547
S -7.129 7.362 12.786
S -1.537 4.557 7.480
S -6.459 6.807 2.915
S -3.030 2.396 4.747
Se -2.782 3.634 10.792
Se -7.048 2.713 3.887
Se -7.772 6.077 6.248
Se -5.559 2.832 8.135
Se -2.952 7.096 13.431
Se -4.483 7.094 9.196
Cd -8.928 7.437 3.036
Cd -2.356 7.104 4.599
Cd -1.931 4.717 13.067
Cd -4.779 4.077 3.684
Cd -6.275 5.341 8.319
Cd -3.057 2.516 7.302
Cd -1.880 7.519 8.888
Cd -4.846 7.721 11.726
Ge -0.872 4.221 9.567
Ge -6.005 7.066 5.068
```

Properties
Crystal system: monoclinic
M_tot: 0.00 μB/atom
Uncorrected formation energy: -542 kJ/mol of formula units

=====

[11]
Density functional theory data (GGA-PBEsol) for an optimized crystal structure of SrMg2Sb2.

```
5
Lattice="-0.183 2.112 -4.197 1.345 -4.495 0.314 -7.377 -2.265 -0.819" Properties=species:S:1:pos:R:3 pbc="T T T"
Mg -1.907 -3.135 -1.495
Mg -4.308 -1.513 -3.208
Sr 0.000 0.000 0.000
Sb -1.545 -0.665 -2.901
Sb -4.670 -3.983 -1.801
```

Properties
Crystal system: trigonal
M_tot: 0.00 μB/atom
Uncorrected formation energy: -366 kJ/mol of formula units

=====

[12]
Density functional theory data (GGA-PBEsol) for an optimized crystal structure of Ca2YCo.

```
4
Lattice="3.558 0.000 0.000 0.000 5.712 -0.005 -1.779 -2.851 5.300" Properties=species:S:1:pos:R:3 pbc="T T T"
Ca 1.779 0.006 3.321
Ca 1.779 2.863 5.249
Co 1.779 2.848 0.134
Y 0.000 2.860 1.883
```

Properties
Crystal system: monoclinic
Calculated formation energy: 153 meV per atom
M_tot: 0.00 μB/atom

=====

[13]
Density functional theory data (GGA-PBEsol) for an optimized crystal structure of MgIr2Ru2.

```
5
Lattice="3.823 0.000 0.000 0.000 3.823 0.000 -1.911 -1.911 5.642" Properties=species:S:1:pos:R:3 pbc="T T T"
Ru 1.911 0.000 2.821
Ru 0.000 1.911 2.821
Ir 1.911 1.911 1.173
Ir 0.000 0.000 4.469
Mg 0.000 0.000 0.000
```

Properties
Crystal system: tetragonal
Calculated formation energy: 318 meV per atom
M_tot: 0.00 μB/atom

=====

[14]
Density functional theory data (GGA-PBEsol) for an optimized crystal structure of TaCu2Ir.

```
4
Lattice="2.625 -0.027 0.000 -1.025 2.417 0.000 0.000 0.000 8.827" Properties=species:S:1:pos:R:3 pbc="T T T"
Ir 0.800 1.195 4.413
Cu 0.000 0.000 6.574
Cu 0.000 0.000 2.253
Ta 0.800 1.195 0.000
```

Properties
Crystal system: orthorhombic
Calculated formation energy: 250 meV per atom
M_tot: 0.00 μB/atom

=====

[15]
Density functional theory data (GGA-PBEsol) for an optimized crystal structure of TcSnSe2Br.

```
5
Lattice="-2.781 3.517 -1.702 -2.362 0.151 4.171 3.335 3.489 1.762" Properties=species:S:1:pos:R:3 pbc="T T T"
Tc 0.000 0.000 0.000
Se -1.390 1.759 -0.851
Se -1.181 0.076 2.086
Sn -0.904 3.579 2.115
Br 1.667 1.745 0.881
```

Properties
Crystal system: tetragonal
M_tot: 0.00 μB/atom
Uncorrected formation energy: 68 kJ/mol of formula units

=====

[16]
Density functional theory data (GGA-PBEsol) for an optimized crystal structure of TaNiRh2.

```
4
Lattice="-1.872 1.897 2.547 -3.089 -0.005 -2.266 -1.163 -3.285 1.592" Properties=species:S:1:pos:R:3 pbc="T T T"
Ni -0.936 0.949 1.273
Ta -3.062 -0.696 0.936
Rh -0.582 -1.642 0.796
Rh -1.544 -0.002 -1.133
```

Properties
Crystal system: tetragonal
Calculated formation energy: -536 meV per atom
M_tot: 0.00 μB/atom

=====

[17]
Density functional theory data (GGA-PBEsol) for an optimized crystal structure of Fe2IrOs.

```
4
Lattice="2.605 0.000 0.000 0.000 3.916 0.000 -1.303 0.000 4.709" Properties=species:S:1:pos:R:3 pbc="T T T"
Fe 1.303 0.000 2.953
Fe 1.303 1.958 1.727
Os 0.000 1.958 3.917
Ir 0.000 0.000 0.744
```

Properties
Crystal system: orthorhombic
Calculated formation energy: 18 meV per atom
M_tot: 0.17 μB/atom

=====

[18]
Density functional theory data (GGA-PBEsol) for an optimized crystal structure of Nd4V5Si4O22.

```
35
Lattice="5.519 0.000 0.000 -2.759 6.617 -0.010 0.000 -1.991 10.873" Properties=species:S:1:pos:R:3 pbc="T T T"
O 2.759 0.766 1.852
O -1.443 5.524 0.939
O 1.365 -0.957 6.871
O 4.110 2.409 3.426
O 1.350 2.217 7.437
O 4.154 -0.957 6.871
O 2.759 0.951 5.505
O 0.000 1.240 9.457
O -1.350 2.217 7.437
O 0.000 2.285 1.123
O 0.000 3.861 9.011
O 1.316 -0.898 9.924
O 2.759 3.387 1.406
O 0.000 0.949 5.221
O 2.759 2.341 9.740
O 1.409 2.409 3.426
O 1.443 5.524 0.939
O -1.395 5.583 3.992
O 1.395 5.583 3.992
O 4.203 -0.898 9.924
O 2.759 3.677 5.642
O 0.000 3.676 5.358
Si 2.759 4.683 0.425
Si 0.000 2.406 8.341
Si 2.759 2.220 2.522
Si 0.000 -0.057 10.438
V 0.000 -0.996 5.436
V 2.759 0.000 0.000
V -1.380 2.313 5.431
V 2.759 -0.996 5.436
V 1.380 2.313 5.431
Nd 0.000 0.450 2.712
Nd 2.759 0.329 8.256
Nd 0.000 4.297 2.607
Nd 2.759 4.176 8.151
```

Properties
Crystal system: monoclinic
M_tot: 0.23 μB/atom
Uncorrected formation energy: -9678 kJ/mol of formula units

=====

[19]
Density functional theory data (GGA-PBEsol) for an optimized crystal structure of AsRu2W.

```
4
Lattice="-0.085 1.327 -2.527 -3.660 -2.274 -1.072 -2.188 2.850 3.183" Properties=species:S:1:pos:R:3 pbc="T T T"
Ru -5.855 1.787 -0.479
Ru -3.849 0.068 0.164
W -2.013 -0.413 -1.763
As -2.020 1.891 -0.553
```

Properties
Crystal system: monoclinic
Calculated formation energy: 143 meV per atom
M_tot: 0.00 μB/atom

=====

[20]
Density functional theory data (GGA-PBEsol) for an optimized crystal structure of TlCuAs2PbS5.

```
20
Lattice="7.678 -0.071 0.110 3.351 7.232 0.075 2.545 2.906 7.942" Properties=species:S:1:pos:R:3 pbc="T T T"
Cu 4.717 2.820 3.381
Cu 8.857 7.246 4.746
Pb 7.540 3.577 0.920
Pb 6.034 6.489 7.207
S 7.150 8.622 5.334
S 8.196 5.407 3.550
S 9.537 5.955 0.504
S 4.036 4.112 7.624
S 6.424 1.444 2.793
S 5.378 4.659 4.577
S 2.875 3.196 2.120
S 10.699 6.870 6.008
S 8.188 4.773 7.379
S 5.386 5.294 0.748
As 3.321 4.718 5.509
As 8.546 9.454 6.907
As 10.253 5.349 2.619
As 5.027 0.612 1.221
Tl 5.267 7.230 3.078
Tl 8.306 2.836 5.049
```

Properties
Crystal system: triclinic
M_tot: 0.00 μB/atom
Uncorrected formation energy: -272 kJ/mol of formula units